Below is a geometry-optimized CoHgP2O6 structure, with properties calculated at the PBE with a Hubbard U level.

VASP energy	-62.3	eV/f.u.
D(E_F)	0.00	states/eV per cell
size of the total moment	5.98	μB/cell

abc: 4.821 7.931 7.931
angles: 94.49 79.97 79.97
Fractional coordinates of all 20 atoms:
1 Co 0.250 0.232 0.768
2 Co 0.750 0.768 0.232
3 Hg 0.250 0.909 0.091
4 Hg 0.750 0.091 0.909
5 P 0.358 0.787 0.620
6 P 0.142 0.380 0.213
7 P 0.642 0.213 0.380
8 P 0.858 0.620 0.787
9 O 0.326 0.975 0.681
10 O 0.174 0.319 0.025
11 O 0.674 0.025 0.319
12 O 0.826 0.681 0.975
13 O 0.466 0.726 0.433
14 O 0.034 0.567 0.274
15 O 0.534 0.274 0.567
16 O 0.966 0.433 0.726
17 O 0.047 0.735 0.673
18 O 0.453 0.327 0.265
19 O 0.953 0.265 0.327
20 O 0.547 0.673 0.735